No. 1
A plane-wave DFT calculation with PBE was carried out for an optimized crystal structure of OsO3F2.

Values from the calculation:
ΔE to the lowest computed polymorph = 40 meV per atom
E_form (uncorrected) = -1181.8 meV/atom
Space group = C2/c, No. 15
Calculated density = 3.93 g cm⁻³

POSCAR file:
```
OsO3F2
1.0
4.664 -2.761 0.000
4.664 2.761 0.000
-1.145 0.000 9.073
Os O F
2 6 4
Cartesian
3.805 1.480 6.805 Os
4.378 -1.480 2.268 Os
4.378 2.318 2.268 O
2.353 0.625 7.171 O
2.925 -0.625 2.634 O
5.258 0.625 6.439 O
5.830 -0.625 1.903 O
3.805 -2.318 6.805 O
3.339 1.471 4.959 F
4.272 1.471 8.651 F
3.911 -1.471 0.422 F
4.844 -1.471 4.114 F
```


No. 2
A plane-wave DFT calculation with PBE was carried out for an optimized crystal structure of OsO2F3.

Values from the calculation:
E_form (uncorrected) = -1387.8 meV/atom
Space group = P2_1/c, No. 14
Calculated density = 4.87 g cm⁻³

POSCAR file:
```
OsO2F3
1.0
5.810 0.000 0.000
0.000 10.382 0.000
-2.721 0.000 12.616
Os O F
8 16 24
Cartesian
-1.163 2.484 6.270 Os
-2.524 2.707 12.577 Os
1.346 5.291 2.782 Os
-0.015 10.283 9.090 Os
3.104 0.100 3.526 Os
1.743 5.092 9.834 Os
5.613 7.675 0.038 Os
4.252 7.899 6.346 Os
0.274 1.726 5.838 O
-1.087 3.465 12.146 O
0.007 0.794 10.548 O
1.367 4.397 4.240 O
1.926 6.832 3.237 O
0.565 8.742 9.545 O
0.432 5.738 10.728 O
1.792 9.835 4.420 O
1.297 0.547 8.196 O
2.657 4.644 1.888 O
2.524 1.641 3.070 O
1.163 3.550 9.378 O
1.722 5.985 8.376 O
3.082 9.588 2.068 O
4.176 6.917 0.470 O
2.816 8.656 6.777 O
-0.506 5.729 2.837 F
-1.866 9.845 9.145 F
-1.176 6.955 7.941 F
0.185 8.618 1.633 F
-1.031 1.629 8.129 F
0.330 3.562 1.821 F
0.876 6.088 0.745 F
-0.485 9.485 7.053 F
0.887 1.113 0.712 F
-0.474 4.078 7.020 F
0.146 7.440 5.681 F
-1.215 8.133 11.989 F
4.304 2.249 0.627 F
2.943 2.942 6.935 F
3.563 6.304 5.596 F
2.202 9.269 11.904 F
3.574 0.897 5.563 F
2.213 4.294 11.871 F
2.759 6.820 10.794 F
4.120 8.753 4.486 F
2.904 1.764 10.983 F
4.265 3.427 4.675 F
4.955 0.538 3.471 F
3.595 4.653 9.779 F
```


No. 3
A plane-wave DFT calculation with PBE was carried out for an optimized crystal structure of OsO2F3.

Values from the calculation:
E_form (uncorrected) = -1385.9 meV/atom
Space group = Pc, No. 7
Calculated density = 4.93 g cm⁻³

POSCAR file:
```
OsO2F3
1.0
5.743 0.000 0.000
0.000 5.298 0.000
-2.457 0.000 12.356
Os O F
4 8 12
Cartesian
0.000 0.101 0.000 Os
-1.228 5.197 6.178 Os
0.340 2.457 8.781 Os
1.568 2.841 2.603 Os
1.678 1.928 4.044 O
0.450 3.370 10.222 O
0.951 0.928 9.239 O
2.179 4.370 3.062 O
2.819 2.211 1.618 O
1.591 3.087 7.796 O
3.110 0.451 6.917 O
4.339 4.847 0.739 O
-1.505 2.022 8.941 F
-0.277 3.276 2.764 F
0.475 1.106 1.715 F
-0.753 4.192 7.893 F
-0.226 1.564 6.804 F
1.002 3.734 0.626 F
-0.701 0.629 11.898 F
0.527 4.669 5.720 F
2.627 1.696 11.578 F
3.855 3.602 5.401 F
4.377 0.722 4.484 F
3.149 4.576 10.662 F
```


No. 4
A plane-wave DFT calculation with PBE was carried out for an optimized crystal structure of OsO2F.

Values from the calculation:
ΔE to the lowest computed polymorph = 596 meV per atom
E_form (uncorrected) = -433.0 meV/atom
Space group = I-42d, No. 122
Calculated density = 6.20 g cm⁻³

POSCAR file:
```
OsO2F
1.0
-2.756 2.756 4.252
2.756 -2.756 4.252
2.756 2.756 -4.252
Os O F
2 4 2
Cartesian
0.000 0.000 0.000 Os
0.000 2.756 2.126 Os
0.595 1.378 1.063 O
-1.378 2.161 3.189 O
-0.595 4.134 1.063 O
1.378 3.351 3.189 O
2.756 0.000 2.126 F
0.000 0.000 4.252 F
```


No. 5
A plane-wave DFT calculation with PBE was carried out for an optimized crystal structure of OsO2F.

Values from the calculation:
ΔE to the lowest computed polymorph = 1037 meV per atom
E_form (uncorrected) = 8.5 meV/atom
Space group = Fm-3m, No. 225
Calculated density = 11.86 g cm⁻³

POSCAR file:
```
OsO2F
1.0
0.000 2.566 2.566
2.566 0.000 2.566
2.566 2.566 0.000
Os O F
1 2 1
Cartesian
0.000 0.000 0.000 Os
1.283 1.283 1.283 O
3.848 3.848 3.848 O
2.566 2.566 2.566 F
```


No. 6
A plane-wave DFT calculation with PBE was carried out for an optimized crystal structure of OsO2F.

Values from the calculation:
ΔE to the lowest computed polymorph = 0 meV per atom
E_form (uncorrected) = -1028.8 meV/atom
Space group = P2_1/c, No. 14
Calculated density = 6.81 g cm⁻³

POSCAR file:
```
OsO2F
1.0
5.432 0.000 0.000
0.000 4.878 0.000
-5.403 0.000 8.877
Os O F
4 8 4
Cartesian
-1.344 0.007 3.748 Os
-4.045 2.432 8.187 Os
4.074 2.446 0.691 Os
1.373 4.871 5.129 Os
0.317 3.410 0.532 O
-2.385 3.907 4.971 O
-2.378 3.414 8.344 O
0.323 3.903 3.906 O
-0.294 0.975 4.972 O
2.407 1.464 0.533 O
2.414 0.971 3.906 O
-0.288 1.468 8.345 O
-3.341 1.207 6.661 F
-0.639 1.232 2.222 F
0.668 3.646 6.655 F
3.370 3.671 2.216 F
```


No. 7
A plane-wave DFT calculation with PBE was carried out for an optimized crystal structure of Os3O12F.

Values from the calculation:
E_form (uncorrected) = -867.1 meV/atom
Space group = R3c, No. 161
Calculated density = 3.87 g cm⁻³

POSCAR file:
```
Os3O12F
1.0
4.584 2.647 9.226
-4.584 2.647 9.226
0.000 -5.294 9.226
Os O F
6 24 2
Cartesian
-1.623 -2.124 9.226 Os
-3.557 -0.179 13.839 Os
-1.028 2.468 9.226 Os
1.933 -2.991 13.839 Os
2.651 -0.344 9.226 Os
1.623 3.170 13.839 Os
-1.786 -1.174 7.788 O
-2.658 1.432 6.052 O
0.089 -3.018 6.052 O
-1.926 -1.214 10.665 O
-0.092 -2.906 9.302 O
-2.470 1.533 9.302 O
-2.114 -1.114 13.915 O
-3.086 1.479 13.753 O
0.263 -3.412 13.753 O
-0.124 2.133 7.788 O
-1.498 -1.168 18.366 O
1.909 -0.960 7.788 O
-1.909 -0.960 21.626 O
-0.089 2.276 10.665 O
2.015 -1.061 10.665 O
2.569 1.586 6.052 O
2.022 -1.274 13.915 O
0.092 2.388 13.915 O
2.563 1.373 9.302 O
-0.263 1.881 18.366 O
1.761 -0.713 18.366 O
1.786 -1.174 21.626 O
2.824 1.934 13.753 O
0.124 2.133 21.626 O
0.000 0.000 9.314 F
0.000 0.000 23.153 F
```


No. 8
A plane-wave DFT calculation with PBE was carried out for an optimized crystal structure of Os2O7F2.

Values from the calculation:
E_form (uncorrected) = -1006.9 meV/atom
Space group = P2_1/c, No. 14
Calculated density = 5.16 g cm⁻³

POSCAR file:
```
Os2O7F2
1.0
5.489 0.000 0.000
0.000 14.636 0.000
-2.013 0.000 4.253
Os O F
4 14 4
Cartesian
-0.516 1.448 1.167 Os
-1.522 5.870 3.293 Os
4.998 8.766 0.960 Os
3.992 13.189 3.087 Os
0.000 0.000 0.000 O
-1.006 7.318 2.127 O
-1.161 2.217 2.571 O
-0.155 5.101 0.444 O
0.426 9.557 2.177 O
1.432 12.398 0.050 O
1.034 2.182 1.115 O
0.028 5.136 3.241 O
3.448 9.500 1.012 O
2.442 12.455 3.139 O
2.044 2.239 4.203 O
3.050 5.080 2.077 O
3.631 9.536 3.809 O
4.637 12.419 1.682 O
1.119 7.345 0.527 F
0.112 14.610 2.654 F
3.364 0.026 1.600 F
2.357 7.292 3.726 F
```


No. 9
A plane-wave DFT calculation with PBE was carried out for an optimized crystal structure of Os2OF.

Values from the calculation:
ΔE to the lowest computed polymorph = 924 meV per atom
E_form (uncorrected) = 1254.8 meV/atom
Space group = Fm-3m, No. 225
Calculated density = 14.81 g cm⁻³

POSCAR file:
```
Os2OF
1.0
0.000 2.856 2.856
2.856 0.000 2.856
2.856 2.856 0.000
Os O F
2 1 1
Cartesian
1.428 1.428 1.428 Os
4.284 4.284 4.284 Os
0.000 0.000 0.000 O
2.856 2.856 2.856 F
```


No. 10
A plane-wave DFT calculation with PBE was carried out for an optimized crystal structure of POsO2F.

Values from the calculation:
E_form (uncorrected) = 339.5 meV/atom
Space group = P4/mmm, No. 123
Calculated density = 7.12 g cm⁻³

POSCAR file:
```
POsO2F
1.0
3.368 0.000 0.000
0.000 3.368 0.000
0.000 0.000 5.594
P Os O F
1 1 2 1
Cartesian
0.000 0.000 0.000 P
1.684 1.684 2.797 Os
0.000 1.684 0.000 O
1.684 0.000 0.000 O
0.000 0.000 2.797 F
```


No. 11
A plane-wave DFT calculation with PBE was carried out for an optimized crystal structure of POsO2F.

Values from the calculation:
E_form (uncorrected) = -180.3 meV/atom
Space group = P4/mmm, No. 123
Calculated density = 4.67 g cm⁻³

POSCAR file:
```
POsO2F
1.0
3.650 0.000 0.000
0.000 3.650 0.000
0.000 0.000 7.260
P Os O F
1 1 2 1
Cartesian
0.000 0.000 0.000 P
1.825 1.825 3.630 Os
0.000 1.825 3.630 O
1.825 0.000 3.630 O
1.825 1.825 0.000 F
```


No. 12
A plane-wave DFT calculation with PBE was carried out for an optimized crystal structure of POsO2F.

Values from the calculation:
E_form (uncorrected) = 1261.3 meV/atom
Space group = P4/mmm, No. 123
Calculated density = 8.00 g cm⁻³

POSCAR file:
```
POsO2F
1.0
4.019 0.000 0.000
0.000 4.019 0.000
0.000 0.000 3.500
P Os O F
1 1 2 1
Cartesian
0.000 0.000 0.000 P
2.009 2.009 0.000 Os
0.000 2.009 1.750 O
2.009 0.000 1.750 O
0.000 0.000 1.750 F
```


No. 13
A plane-wave DFT calculation with PBE was carried out for an optimized crystal structure of POsOF2.

Values from the calculation:
ΔE to the lowest computed polymorph = 0 meV per atom
E_form (uncorrected) = -85.0 meV/atom
Space group = P4/mmm, No. 123
Calculated density = 6.35 g cm⁻³

POSCAR file:
```
POsOF2
1.0
4.423 0.000 0.000
0.000 4.423 0.000
0.000 0.000 3.681
P Os O F
1 1 1 2
Cartesian
0.000 0.000 0.000 P
2.212 2.212 1.840 Os
2.212 2.212 0.000 O
0.000 2.212 1.840 F
2.212 0.000 1.840 F
```


No. 14
A plane-wave DFT calculation with PBE was carried out for an optimized crystal structure of POsO2F.

Values from the calculation:
E_form (uncorrected) = -592.8 meV/atom
Space group = P4/mmm, No. 123
Calculated density = 6.53 g cm⁻³

POSCAR file:
```
POsO2F
1.0
3.691 0.000 0.000
0.000 3.691 0.000
0.000 0.000 5.080
P Os O F
1 1 2 1
Cartesian
0.000 0.000 0.000 P
0.000 0.000 2.540 Os
0.000 1.846 2.540 O
1.846 0.000 2.540 O
1.846 1.846 0.000 F
```


No. 15
A plane-wave DFT calculation with PBE was carried out for an optimized crystal structure of POsOF2.

Values from the calculation:
ΔE to the lowest computed polymorph = 353 meV per atom
E_form (uncorrected) = 268.0 meV/atom
Space group = P4/mmm, No. 123
Calculated density = 6.47 g cm⁻³

POSCAR file:
```
POsOF2
1.0
4.584 0.000 0.000
0.000 4.584 0.000
0.000 0.000 3.361
P Os O F
1 1 1 2
Cartesian
0.000 0.000 0.000 P
2.292 2.292 1.680 Os
0.000 0.000 1.680 O
0.000 2.292 0.000 F
2.292 0.000 0.000 F
```


No. 16
A plane-wave DFT calculation with PBE was carried out for an optimized crystal structure of OsPbO2F.

Values from the calculation:
E_form (uncorrected) = -940.9 meV/atom
Space group = P4/mmm, No. 123
Calculated density = 8.12 g cm⁻³

POSCAR file:
```
OsPbO2F
1.0
3.786 0.000 0.000
0.000 3.786 0.000
0.000 0.000 6.394
Os Pb O F
1 1 2 1
Cartesian
0.000 0.000 0.000 Os
1.893 1.893 3.197 Pb
0.000 1.893 0.000 O
1.893 0.000 0.000 O
0.000 0.000 3.197 F
```


No. 17
A plane-wave DFT calculation with PBE was carried out for an optimized crystal structure of OsPb2O4F.

Values from the calculation:
E_form (uncorrected) = -1184.3 meV/atom
Space group = C2/m, No. 12
Calculated density = 9.83 g cm⁻³

POSCAR file:
```
OsPb2O4F
1.0
5.118 -1.695 0.000
5.118 1.695 0.000
-2.956 0.000 6.697
Os Pb O F
1 2 4 1
Cartesian
0.000 0.000 0.000 Os
-0.244 0.000 4.792 Pb
7.524 0.000 1.905 Pb
0.633 0.000 1.792 O
3.940 0.000 0.314 O
3.340 0.000 6.383 O
6.647 0.000 4.905 O
3.640 0.000 3.349 F
```


No. 18
A plane-wave DFT calculation with PBE was carried out for an optimized crystal structure of OsPbO2F.

Values from the calculation:
E_form (uncorrected) = 520.8 meV/atom
Space group = P4/mmm, No. 123
Calculated density = 8.94 g cm⁻³

POSCAR file:
```
OsPbO2F
1.0
4.320 0.000 0.000
0.000 4.320 0.000
0.000 0.000 4.464
Os Pb O F
1 1 2 1
Cartesian
0.000 0.000 0.000 Os
2.160 2.160 2.232 Pb
0.000 2.160 2.232 O
2.160 0.000 2.232 O
2.160 2.160 0.000 F
```


No. 19
A plane-wave DFT calculation with PBE was carried out for an optimized crystal structure of OsPtOF2.

Values from the calculation:
ΔE to the lowest computed polymorph = 0 meV per atom
E_form (uncorrected) = -1.8 meV/atom
Space group = P4/mmm, No. 123
Calculated density = 10.55 g cm⁻³

POSCAR file:
```
OsPtOF2
1.0
4.327 0.000 0.000
0.000 4.327 0.000
0.000 0.000 3.693
Os Pt O F
1 1 1 2
Cartesian
0.000 0.000 0.000 Os
2.163 2.163 1.847 Pt
0.000 0.000 1.847 O
0.000 2.163 0.000 F
2.163 0.000 0.000 F
```


No. 20
A plane-wave DFT calculation with PBE was carried out for an optimized crystal structure of OsPtO2F.

Values from the calculation:
E_form (uncorrected) = 852.9 meV/atom
Space group = P4/mmm, No. 123
Calculated density = 10.53 g cm⁻³

POSCAR file:
```
OsPtO2F
1.0
4.025 0.000 0.000
0.000 4.025 0.000
0.000 0.000 4.247
Os Pt O F
1 1 2 1
Cartesian
0.000 0.000 0.000 Os
2.013 2.013 2.124 Pt
0.000 2.013 2.124 O
2.013 0.000 2.124 O
2.013 2.013 0.000 F
```


No. 21
A plane-wave DFT calculation with PBE was carried out for an optimized crystal structure of OsPtOF2.

Values from the calculation:
ΔE to the lowest computed polymorph = 691 meV per atom
E_form (uncorrected) = 689.4 meV/atom
Space group = P4/mmm, No. 123
Calculated density = 9.41 g cm⁻³

POSCAR file:
```
OsPtOF2
1.0
4.531 0.000 0.000
0.000 4.531 0.000
0.000 0.000 3.774
Os Pt O F
1 1 1 2
Cartesian
0.000 0.000 0.000 Os
2.266 2.266 1.887 Pt
2.266 2.266 0.000 O
0.000 2.266 1.887 F
2.266 0.000 1.887 F
```